Record 1
This record from the Alexandria database describes a relaxed YTeAs2 crystal. The functional is PBE.

```
4
Lattice="4.045 0.000 0.000 0.000 4.045 0.000 0.000 0.000 6.233" Properties=species:S:1:pos:R:3 pbc="T T T"
Y 0.000 0.000 0.000
Te 2.022 2.022 5.164
As 0.000 0.000 2.789
As 2.022 2.022 2.195
```

Results
volume: 101.98 Å³/cell
ΔE_f (raw): -0.538 eV/atom

Record 2
This record from the Alexandria database describes a relaxed SrFeHg2 crystal. The functional is PBE.

```
4
Lattice="4.004 -2.308 0.000 4.004 2.308 0.000 -2.660 0.000 5.777" Properties=species:S:1:pos:R:3 pbc="T T T"
Sr 0.000 0.000 0.000
Fe 0.010 0.000 3.287
Hg 2.679 0.000 3.728
Hg 5.345 0.000 2.191
```

Results
volume: 106.76 Å³/cell
E_form: 7.39 kJ per mole of atoms

Record 3
This record from the Alexandria database describes a relaxed PmHo5In3 crystal. The functional is PBE.

```
18
Lattice="9.350 0.000 0.000 -4.675 8.098 0.000 0.000 0.000 6.721" Properties=species:S:1:pos:R:3 pbc="T T T"
Pm 0.000 0.000 0.000
Pm 0.000 0.000 3.360
Ho -1.549 2.683 1.680
Ho -3.126 5.415 5.041
Ho 3.098 0.000 1.680
Ho 1.549 2.683 5.041
Ho 0.000 5.399 0.000
Ho 0.000 5.399 3.360
Ho 4.675 2.699 0.000
Ho 4.675 2.699 3.360
Ho 6.252 0.000 5.041
Ho 3.126 5.415 1.680
In -1.583 2.742 5.041
In -3.092 5.356 1.680
In 3.166 0.000 5.041
In 1.583 2.742 1.680
In 6.184 0.000 1.680
In 3.092 5.356 5.041
```

Results
volume: 508.93 Å³/cell
E_form: -33.76 kJ per mole of atoms

Record 4
This record from the Alexandria database describes a relaxed Mn2InAu2 crystal. The functional is PBE.

```
5
Lattice="-1.583 1.583 8.399 1.583 -1.583 8.399 1.583 1.583 -8.399" Properties=species:S:1:pos:R:3 pbc="T T T"
Mn 1.583 0.000 4.200
Mn 0.000 1.583 4.200
In 0.000 0.000 0.000
Au 0.000 0.000 6.422
Au 0.000 0.000 10.376
```

Results
volume: 84.23 Å³/cell
E_form: 35.93 kJ per mole of atoms